(1)
Computed, not measured: a relaxed structure of LiPm3 at the PBE-GGA level of DFT.

abc: 7.9446 7.9446 7.9446
angles: 90.00 90.00 90.00
Closest atoms and distances in Å follow each position.
Positions (direct):
Li  0.0000  0.0000  0.0000  8 Pm 3.44
Li  0.0000  0.5000  0.5000  8 Pm 3.44
Li  0.5000  0.0000  0.5000  8 Pm 3.44
Li  0.5000  0.5000  0.0000  8 Pm 3.44
Pm  0.0000  0.0000  0.5000  8 Pm 3.44
Pm  0.0000  0.5000  0.0000  8 Pm 3.44
Pm  0.2500  0.2500  0.2500  4 Li 3.44, 4 Pm 3.44
Pm  0.2500  0.2500  0.7500  4 Li 3.44, 4 Pm 3.44
Pm  0.2500  0.7500  0.2500  4 Li 3.44, 4 Pm 3.44
Pm  0.2500  0.7500  0.7500  4 Li 3.44, 4 Pm 3.44
Pm  0.5000  0.0000  0.0000  8 Pm 3.44
Pm  0.5000  0.5000  0.5000  8 Pm 3.44
Pm  0.7500  0.2500  0.2500  4 Li 3.44, 4 Pm 3.44
Pm  0.7500  0.2500  0.7500  4 Li 3.44, 4 Pm 3.44
Pm  0.7500  0.7500  0.2500  4 Li 3.44, 4 Pm 3.44
Pm  0.7500  0.7500  0.7500  4 Li 3.44, 4 Pm 3.44

Values from the calculation:
Formation enthalpy at 0 K in eV/atom: 0.187
Crystal system: cubic
Relative energy among the computed polymorphs in meV/atom: 111
Total magnetization in μB/f.u.: 0.00

(2)
Computed, not measured: a relaxed structure of ZnNiW2C at the PBE-GGA level of DFT.

abc: 4.7581 4.7581 3.3403
angles: 90.00 90.00 90.00
Closest atoms and distances in Å follow each position.
Positions (direct):
Zn  0.0000  0.0000  0.0000  2 C 1.67
Ni  0.5000  0.5000  0.5000  8 W 2.91
W  0.0000  0.5000  0.0000  2 Zn 2.38
W  0.5000  0.0000  0.0000  2 Zn 2.38
C  0.0000  0.0000  0.5000  2 Zn 1.67

Values from the calculation:
Formation enthalpy at 0 K in eV/atom: 2.320
Crystal system: tetragonal
Relative energy among the computed polymorphs in meV/atom: 0
Total magnetization in μB/f.u.: 0.22

Question: Which of these has the highest relative energy among the computed polymorphs?
Answer: LiPm3

Question: What is the formula in the first record?
Answer: LiPm3